Material: La4Bi5H
Method: DFT, PBE
State: optimized geometry

Computed properties:
uncorrected energy: -4.726 eV per atom
Fermi-level density of states: 5.7 states/eV/cell
density: 7.9 g cm⁻³
spin magnetization: 0.00 μB per formula unit

Lattice parameters (Å, degrees): 9.334 9.334 8.447 109.54 109.54 29.12
Positions (direct):
La  0.039  0.039  0.252
La  0.353  0.353  0.053
La  0.647  0.647  0.947
La  0.961  0.961  0.748
Bi  0.146  0.146  0.656
Bi  0.211  0.211  0.231
Bi  0.500  0.500  0.500
Bi  0.789  0.789  0.769
Bi  0.854  0.854  0.344
H  0.500  0.500  0.000